Record 1
Crystalline TeAs2W at its relaxed geometry, computed with PBE.

Cell: 8.811 3.350 5.570 Å, 90.00 100.11 90.00°
Space group C2/m (No. 12)
Unique sites:
Te: 0.000 0.000 0.000 x2
As: 0.223 0.000 0.681 x4
W: 0.000 0.500 0.500 x2

## Properties
The calculated volume is 161.9 Å³ per cell. As for the density of states at the Fermi level: 2.15 states/eV/f.u. The value obtained for the final energy is -5.931 eV per atom. Its crystal system is monoclinic.

---

Record 2
Crystalline TeAs2W at its relaxed geometry, computed with PBE.

Cell: 3.2097 3.2097 28.6275 Å, 90.00 90.00 120.00°
Space group R-3m (No. 166, hexagonal axes)
Unique sites:
Te: 0.0000 0.0000 0.0000 x3
As: 0.0000 0.0000 0.2302 x6
W: 0.0000 0.0000 0.5000 x3

## Properties
The calculated volume is 255.4 Å³ per cell. As for the density of states at the Fermi level: 2.77 states/eV/f.u. The value obtained for the final energy is -6.208 eV per atom. Its crystal system is trigonal.

---

Record 3
Crystalline TeAs2W at its relaxed geometry, computed with PBE.

Cell: 3.260 4.892 11.219 Å, 90.00 90.00 90.00°
Space group Immm (No. 71)
Unique sites:
Te: 0.000 0.000 0.000 x2
As: 0.000 0.500 0.180 x4
W: 0.000 0.000 0.500 x2

## Properties
The calculated volume is 178.9 Å³ per cell. As for the density of states at the Fermi level: 2.67 states/eV/f.u. The value obtained for the final energy is -5.835 eV per atom. Its crystal system is orthorhombic.